1.
Here is an optimized crystal structure of Rb2BI from Alexandria. Energies are from PBEsol. Values from VASP.

Geometry as Quantum ESPRESSO input:
```
&SYSTEM
  ibrav = 0, nat = 4, ntyp = 3
/
ATOMIC_SPECIES
Rb 85.47 Rb.upf
B 10.81 B.upf
I 126.90 I.upf
CELL_PARAMETERS angstrom
0.000 4.182 4.182
4.182 0.000 4.182
4.182 4.182 0.000
ATOMIC_POSITIONS crystal
Rb 0.250 0.250 0.250
Rb 0.750 0.750 0.750
B 0.000 0.000 0.000
I 0.500 0.500 0.500
```

## Properties
**Space group**: Fm-3m, No. 225
**Raw formation energy**: 0.4446 eV/atom
**Total moment**: 2.00 μB per cell



2.
Here is an optimized crystal structure of B9H11 from Alexandria. Energies are from PBEsol. Values from VASP.

Geometry as Quantum ESPRESSO input:
```
&SYSTEM
  ibrav = 0, nat = 160, ntyp = 2
/
ATOMIC_SPECIES
B 10.81 B.upf
H 1.01 H.upf
CELL_PARAMETERS angstrom
10.481 0.000 0.000
0.000 11.836 0.000
0.000 0.000 10.621
ATOMIC_POSITIONS crystal
B 0.002 0.103 0.227
B 0.002 0.397 0.727
B 0.047 0.039 0.797
B 0.047 0.461 0.297
B 0.060 0.618 0.001
B 0.060 0.882 0.501
B 0.066 0.145 0.391
B 0.066 0.355 0.891
B 0.077 0.033 0.505
B 0.077 0.467 0.005
B 0.093 0.662 0.155
B 0.093 0.838 0.655
B 0.147 0.072 0.669
B 0.147 0.428 0.169
B 0.160 0.557 0.252
B 0.160 0.943 0.752
B 0.185 0.551 0.087
B 0.185 0.949 0.587
B 0.315 0.551 0.587
B 0.315 0.949 0.087
B 0.340 0.557 0.752
B 0.340 0.943 0.252
B 0.353 0.072 0.169
B 0.353 0.428 0.669
B 0.407 0.662 0.655
B 0.407 0.838 0.155
B 0.423 0.033 0.005
B 0.423 0.467 0.505
B 0.434 0.145 0.891
B 0.434 0.355 0.391
B 0.440 0.618 0.501
B 0.440 0.882 0.001
B 0.453 0.039 0.297
B 0.453 0.461 0.797
B 0.498 0.103 0.727
B 0.498 0.397 0.227
B 0.502 0.603 0.773
B 0.502 0.897 0.273
B 0.547 0.539 0.203
B 0.547 0.961 0.703
B 0.560 0.118 0.999
B 0.560 0.382 0.499
B 0.566 0.645 0.609
B 0.566 0.855 0.109
B 0.577 0.533 0.495
B 0.577 0.967 0.995
B 0.593 0.162 0.845
B 0.593 0.338 0.345
B 0.647 0.572 0.331
B 0.647 0.928 0.831
B 0.660 0.057 0.748
B 0.660 0.443 0.248
B 0.685 0.051 0.913
B 0.685 0.449 0.413
B 0.815 0.051 0.413
B 0.815 0.449 0.913
B 0.840 0.057 0.248
B 0.840 0.443 0.748
B 0.853 0.572 0.831
B 0.853 0.928 0.331
B 0.907 0.162 0.345
B 0.907 0.338 0.845
B 0.923 0.533 0.995
B 0.923 0.967 0.495
B 0.934 0.645 0.109
B 0.934 0.855 0.609
B 0.940 0.118 0.499
B 0.940 0.382 0.999
B 0.953 0.539 0.703
B 0.953 0.961 0.203
B 0.998 0.603 0.273
B 0.998 0.897 0.773
H 0.034 0.113 0.703
H 0.034 0.387 0.203
H 0.036 0.091 0.893
H 0.036 0.409 0.393
H 0.040 0.155 0.139
H 0.040 0.345 0.639
H 0.068 0.007 0.227
H 0.068 0.493 0.727
H 0.089 0.679 0.916
H 0.089 0.821 0.416
H 0.125 0.741 0.670
H 0.125 0.759 0.170
H 0.137 0.224 0.399
H 0.137 0.276 0.899
H 0.140 0.055 0.395
H 0.140 0.445 0.895
H 0.209 0.557 0.545
H 0.209 0.943 0.045
H 0.217 0.152 0.672
H 0.217 0.348 0.172
H 0.246 0.583 0.320
H 0.246 0.917 0.820
H 0.254 0.583 0.820
H 0.254 0.917 0.320
H 0.283 0.152 0.172
H 0.283 0.348 0.672
H 0.291 0.557 0.045
H 0.291 0.943 0.545
H 0.360 0.055 0.895
H 0.360 0.445 0.395
H 0.363 0.224 0.899
H 0.363 0.276 0.399
H 0.375 0.741 0.170
H 0.375 0.759 0.670
H 0.411 0.679 0.416
H 0.411 0.821 0.916
H 0.432 0.007 0.727
H 0.432 0.493 0.227
H 0.460 0.155 0.639
H 0.460 0.345 0.139
H 0.464 0.091 0.393
H 0.464 0.409 0.893
H 0.466 0.113 0.203
H 0.466 0.387 0.703
H 0.534 0.613 0.297
H 0.534 0.887 0.797
H 0.536 0.591 0.107
H 0.536 0.909 0.607
H 0.540 0.655 0.861
H 0.540 0.845 0.361
H 0.568 0.507 0.773
H 0.568 0.993 0.273
H 0.589 0.179 0.084
H 0.589 0.321 0.584
H 0.625 0.241 0.330
H 0.625 0.259 0.830
H 0.637 0.724 0.601
H 0.637 0.776 0.101
H 0.640 0.555 0.605
H 0.640 0.945 0.105
H 0.709 0.057 0.455
H 0.709 0.443 0.955
H 0.717 0.652 0.328
H 0.717 0.848 0.828
H 0.746 0.083 0.680
H 0.746 0.417 0.180
H 0.754 0.083 0.180
H 0.754 0.417 0.680
H 0.783 0.652 0.828
H 0.783 0.848 0.328
H 0.791 0.057 0.955
H 0.791 0.443 0.455
H 0.860 0.555 0.105
H 0.860 0.945 0.605
H 0.863 0.724 0.101
H 0.863 0.776 0.601
H 0.875 0.241 0.830
H 0.875 0.259 0.330
H 0.911 0.179 0.584
H 0.911 0.321 0.084
H 0.932 0.507 0.273
H 0.932 0.993 0.773
H 0.960 0.655 0.361
H 0.960 0.845 0.861
H 0.964 0.591 0.607
H 0.964 0.909 0.107
H 0.966 0.613 0.797
H 0.966 0.887 0.297
```

## Properties
**Electronic total energy**: -100.891 eV/f.u.
**Space group**: Pccn, No. 56
**Total moment**: 0.00 μB per cell



3.
Here is an optimized crystal structure of ScInO2F from Alexandria. Energies are from PBEsol. Values from VASP.

Geometry as Quantum ESPRESSO input:
```
&SYSTEM
  ibrav = 0, nat = 5, ntyp = 4
/
ATOMIC_SPECIES
Sc 44.96 Sc.upf
In 114.82 In.upf
O 16.00 O.upf
F 19.00 F.upf
CELL_PARAMETERS angstrom
4.112 0.000 0.000
0.000 4.112 0.000
0.000 0.000 3.960
ATOMIC_POSITIONS crystal
Sc 0.000 0.000 0.000
In 0.500 0.500 0.500
O 0.000 0.500 0.000
O 0.500 0.000 0.000
F 0.000 0.000 0.500
```

## Properties
**Space group**: P4/mmm, No. 123
**Raw formation energy**: -2.3335 eV/atom
**Total moment**: 0.00 μB per cell



4.
Here is an optimized crystal structure of Cu2SiPt from Alexandria. Energies are from PBEsol. Values from VASP.

Geometry as Quantum ESPRESSO input:
```
&SYSTEM
  ibrav = 0, nat = 4, ntyp = 3
/
ATOMIC_SPECIES
Cu 63.55 Cu.upf
Si 28.09 Si.upf
Pt 195.08 Pt.upf
CELL_PARAMETERS angstrom
-1.806 1.866 3.700
1.806 -1.866 3.700
1.806 1.866 -3.700
ATOMIC_POSITIONS crystal
Cu 0.000 0.000 0.000
Cu 0.739 0.239 0.500
Si 0.239 0.739 0.500
Pt 0.482 0.482 0.000
```

## Properties
**Space group**: Imm2, No. 44
**Raw formation energy**: -0.3043 eV/atom
**Total moment**: 0.00 μB per cell



5.
Here is an optimized crystal structure of YMgMo2 from Alexandria. Energies are from PBEsol. Values from VASP.

Geometry as Quantum ESPRESSO input:
```
&SYSTEM
  ibrav = 0, nat = 4, ntyp = 3
/
ATOMIC_SPECIES
Y 88.91 Y.upf
Mg 24.30 Mg.upf
Mo 95.94 Mo.upf
CELL_PARAMETERS angstrom
4.598 -1.379 0.000
4.598 1.379 0.000
-0.179 0.000 6.000
ATOMIC_POSITIONS crystal
Y 0.000 0.000 0.000
Mg 0.750 0.750 0.293
Mo 0.251 0.251 0.718
Mo 0.489 0.489 0.526
```

## Properties
**Space group**: Cm, No. 8
**Calculated formation energy**: 0.49 eV/atom
**Total moment**: 0.00 μB per cell



6.
Here is an optimized crystal structure of Mg2Ti3InS8 from Alexandria. Energies are from PBEsol. Values from VASP.

Geometry as Quantum ESPRESSO input:
```
&SYSTEM
  ibrav = 0, nat = 14, ntyp = 4
/
ATOMIC_SPECIES
Mg 24.30 Mg.upf
Ti 47.87 Ti.upf
In 114.82 In.upf
S 32.06 S.upf
CELL_PARAMETERS angstrom
3.558 2.054 6.323
-3.558 2.054 6.323
0.000 -4.109 6.323
ATOMIC_POSITIONS crystal
Mg 0.130 0.130 0.130
Mg 0.870 0.870 0.870
Ti 0.000 0.500 0.500
Ti 0.500 0.000 0.500
Ti 0.500 0.500 0.000
In 0.500 0.500 0.500
S 0.250 0.250 0.724
S 0.250 0.724 0.250
S 0.260 0.260 0.260
S 0.276 0.750 0.750
S 0.724 0.250 0.250
S 0.740 0.740 0.740
S 0.750 0.276 0.750
S 0.750 0.750 0.276
```

## Properties
**Space group**: R-3m, No. 166
**Raw formation energy**: -1.2220 eV/atom
**Total moment**: 1.26 μB per cell



7.
Here is an optimized crystal structure of Pr4Sb3 from Alexandria. Energies are from PBEsol. Values from VASP.

Geometry as Quantum ESPRESSO input:
```
&SYSTEM
  ibrav = 0, nat = 14, ntyp = 2
/
ATOMIC_SPECIES
Pr 140.91 Pr.upf
Sb 121.76 Sb.upf
CELL_PARAMETERS angstrom
-4.722 4.722 4.722
4.722 -4.722 4.722
4.722 4.722 -4.722
ATOMIC_POSITIONS crystal
Pr 0.000 0.142 0.500
Pr 0.000 0.642 0.500
Pr 0.142 0.500 0.000
Pr 0.358 0.358 0.358
Pr 0.500 0.000 0.142
Pr 0.500 0.000 0.642
Pr 0.642 0.500 0.000
Pr 0.858 0.858 0.858
Sb 0.125 0.875 0.250
Sb 0.250 0.125 0.875
Sb 0.375 0.625 0.750
Sb 0.625 0.750 0.375
Sb 0.750 0.375 0.625
Sb 0.875 0.250 0.125
```

## Properties
**Space group**: I-43d, No. 220
**Raw formation energy**: -1.1008 eV/atom
**Total moment**: 0.00 μB per cell



8.
Here is an optimized crystal structure of SnBi2Au2 from Alexandria. Energies are from PBEsol. Values from VASP.

Geometry as Quantum ESPRESSO input:
```
&SYSTEM
  ibrav = 0, nat = 5, ntyp = 3
/
ATOMIC_SPECIES
Sn 118.71 Sn.upf
Bi 208.98 Bi.upf
Au 196.97 Au.upf
CELL_PARAMETERS angstrom
-1.944 1.944 8.272
1.944 -1.944 8.272
1.944 1.944 -8.272
ATOMIC_POSITIONS crystal
Sn 0.000 0.000 0.000
Bi 0.390 0.390 0.000
Bi 0.610 0.610 0.000
Au 0.250 0.750 0.500
Au 0.750 0.250 0.500
```

## Properties
**Space group**: I4/mmm, No. 139
**Calculated formation energy**: 0.04 eV/atom
**Total moment**: 0.00 μB per cell



Which formula does entry 7 have?
Pr4Sb3



Look up the total moment of the second one.
0.00 μB per cell



The highest total moment belongs to which entry?
Rb2BI



Look up the total moment of the seventh one.
0.00 μB per cell